This record from Alexandria describes a relaxed structure of Ba3MgFe2O6. The functional is PBE+U.

```
Ba3MgFe2O6
1.0
6.074 0.000 0.000
-3.037 5.260 0.000
0.000 0.000 6.862
Ba Mg Fe O
3 1 2 6
Cartesian
0.000 0.000 0.000
0.000 3.507 4.543
3.037 1.753 2.319
0.000 0.000 3.431
0.000 3.507 1.590
3.037 1.753 5.272
0.000 1.705 2.097
-1.560 4.407 2.097
1.477 0.853 4.765
1.560 4.407 2.097
4.597 0.853 4.765
3.037 3.555 4.765
```

Computed properties:
* calculated total energy: -72.88 eV per formula unit
* size of the total moment: 7.977 Bohr magnetons per cell
* space-group type: No. 164